Record 1
# Dy12Y6Er

A relaxed Dy12Y6Er crystal (PBE, Alexandria).

Values from the calculation:
As for the symmetry: R-3m. Its total moment is 0.0 μB per formula unit. The total energy comes out at -89.67 eV/cell.

Cell lengths 8.806, 8.806, 8.806 Å; angles 98.35, 98.35, 98.35 degrees
Fractional positions:
Dy  0.000  0.382  0.618
Dy  0.000  0.618  0.382
Dy  0.029  0.029  0.315
Dy  0.029  0.315  0.029
Dy  0.315  0.029  0.029
Dy  0.382  0.000  0.618
Dy  0.382  0.618  0.000
Dy  0.618  0.000  0.382
Dy  0.618  0.382  0.000
Dy  0.685  0.971  0.971
Dy  0.971  0.685  0.971
Dy  0.971  0.971  0.685
Y  0.245  0.702  0.702
Y  0.298  0.298  0.755
Y  0.298  0.755  0.298
Y  0.702  0.245  0.702
Y  0.702  0.702  0.245
Y  0.755  0.298  0.298
Er  0.500  0.500  0.500

Record 2
# Dy5Y4Er4

A relaxed Dy5Y4Er4 crystal (PBE, Alexandria).

Values from the calculation:
As for the symmetry: I4/m. Its total moment is 0.0 μB per formula unit. The total energy comes out at -66.83 eV/cell.

Cell lengths 9.370, 9.370, 9.370 Å; angles 94.08, 94.08, 149.06 degrees
Fractional positions:
Dy  0.000  0.000  0.000
Dy  0.307  0.538  0.845
Dy  0.462  0.307  0.769
Dy  0.538  0.693  0.231
Dy  0.693  0.462  0.155
Y  0.154  0.769  0.923
Y  0.231  0.154  0.385
Y  0.769  0.846  0.615
Y  0.846  0.231  0.077
Er  0.076  0.386  0.462
Er  0.386  0.924  0.310
Er  0.614  0.076  0.690
Er  0.924  0.614  0.538

Record 3
# DyY3Er6

A relaxed DyY3Er6 crystal (PBE, Alexandria).

Values from the calculation:
As for the symmetry: Cmc2_1. Its total moment is 0.0 μB per formula unit. The total energy comes out at -100.08 eV/cell.

Cell lengths 8.984, 8.984, 8.846 Å; angles 90.00, 90.00, 117.45 degrees
Fractional positions:
Dy  0.221  0.779  0.500
Dy  0.779  0.221  0.000
Y  0.027  0.323  0.393
Y  0.323  0.027  0.893
Y  0.450  0.550  0.381
Y  0.550  0.450  0.881
Y  0.677  0.973  0.393
Y  0.973  0.677  0.893
Er  0.054  0.946  0.255
Er  0.176  0.470  0.743
Er  0.187  0.302  0.067
Er  0.283  0.717  0.131
Er  0.302  0.187  0.567
Er  0.470  0.176  0.243
Er  0.530  0.824  0.743
Er  0.698  0.813  0.067
Er  0.717  0.283  0.631
Er  0.813  0.698  0.567
Er  0.824  0.530  0.243
Er  0.946  0.054  0.755

Record 4
# Dy4YEr15

A relaxed Dy4YEr15 crystal (PBE, Alexandria).

Values from the calculation:
As for the symmetry: P4/mmm. Its total moment is 0.0 μB per formula unit. The total energy comes out at -92.88 eV/cell.

Cell lengths 4.975, 4.975, 24.868 Å; angles 90.00, 90.00, 90.00 degrees
Fractional positions:
Dy  0.000  0.000  0.100
Dy  0.000  0.000  0.300
Dy  0.000  0.000  0.700
Dy  0.000  0.000  0.900
Y  0.000  0.000  0.500
Er  0.000  0.500  0.000
Er  0.000  0.500  0.200
Er  0.000  0.500  0.400
Er  0.000  0.500  0.600
Er  0.000  0.500  0.800
Er  0.500  0.000  0.000
Er  0.500  0.000  0.200
Er  0.500  0.000  0.400
Er  0.500  0.000  0.600
Er  0.500  0.000  0.800
Er  0.500  0.500  0.100
Er  0.500  0.500  0.300
Er  0.500  0.500  0.500
Er  0.500  0.500  0.700
Er  0.500  0.500  0.900

Record 5
# Dy4Y5Er4

A relaxed Dy4Y5Er4 crystal (PBE, Alexandria).

Values from the calculation:
As for the symmetry: I4/m. Its total moment is 0.0 μB per formula unit. The total energy comes out at -68.69 eV/cell.

Cell lengths 9.375, 9.375, 9.375 Å; angles 94.08, 94.08, 149.06 degrees
Fractional positions:
Dy  0.076  0.616  0.692
Dy  0.384  0.076  0.461
Dy  0.616  0.924  0.539
Dy  0.924  0.384  0.308
Y  0.000  0.000  0.000
Y  0.307  0.462  0.768
Y  0.462  0.693  0.155
Y  0.538  0.307  0.845
Y  0.693  0.538  0.232
Er  0.155  0.232  0.386
Er  0.232  0.845  0.077
Er  0.768  0.155  0.923
Er  0.845  0.768  0.614

Record 6
# Dy4Y3Er2

A relaxed Dy4Y3Er2 crystal (PBE, Alexandria).

Values from the calculation:
As for the symmetry: C2/c. Its total moment is 0.0 μB per formula unit. The total energy comes out at -92.03 eV/cell.

Cell lengths 9.929, 9.929, 6.119 Å; angles 94.80, 94.80, 71.07 degrees
Fractional positions:
Dy  0.095  0.812  0.986
Dy  0.145  0.430  0.153
Dy  0.188  0.905  0.514
Dy  0.430  0.145  0.653
Dy  0.570  0.855  0.347
Dy  0.812  0.095  0.486
Dy  0.855  0.570  0.847
Dy  0.905  0.188  0.014
Y  0.069  0.265  0.581
Y  0.265  0.069  0.081
Y  0.402  0.598  0.250
Y  0.598  0.402  0.750
Y  0.735  0.931  0.919
Y  0.931  0.735  0.419
Er  0.239  0.521  0.682
Er  0.479  0.761  0.818
Er  0.521  0.239  0.182
Er  0.761  0.479  0.318

Record 7
# DyY8Er6

A relaxed DyY8Er6 crystal (PBE, Alexandria).

Values from the calculation:
As for the symmetry: R-3. Its total moment is 0.0 μB per formula unit. The total energy comes out at -81.68 eV/cell.

Cell lengths 8.613, 8.613, 8.613 Å; angles 63.06, 63.06, 63.06 degrees
Fractional positions:
Dy  0.000  0.000  0.000
Y  0.110  0.720  0.745
Y  0.255  0.890  0.280
Y  0.280  0.255  0.890
Y  0.423  0.423  0.423
Y  0.577  0.577  0.577
Y  0.720  0.745  0.110
Y  0.745  0.110  0.720
Y  0.890  0.280  0.255
Er  0.112  0.541  0.227
Er  0.227  0.112  0.541
Er  0.459  0.773  0.888
Er  0.541  0.227  0.112
Er  0.773  0.888  0.459
Er  0.888  0.459  0.773

Record 8
# Dy4YEr6

A relaxed Dy4YEr6 crystal (PBE, Alexandria).

Values from the calculation:
As for the symmetry: I-42m. Its total moment is 0.0 μB per formula unit. The total energy comes out at -47.24 eV/cell.

Cell lengths 8.410, 8.410, 8.410 Å; angles 126.31, 126.31, 79.38 degrees
Fractional positions:
Dy  0.256  0.256  0.664
Dy  0.408  0.744  0.000
Dy  0.592  0.592  0.336
Dy  0.744  0.408  0.000
Y  0.000  0.000  0.000
Er  0.000  0.500  0.500
Er  0.061  0.570  0.000
Er  0.430  0.430  0.491
Er  0.500  0.000  0.500
Er  0.570  0.061  0.000
Er  0.939  0.939  0.509

Sequential calculated density output: 6.7, 7.5, 7.5, 8.8, 7.2, 7.3, 6.5, 7.7 g/cm³
Sequential calculated formation energy output: 0.47, 0.02, 0.13, 0.02, 0.02, 0.10, 0.13, 0.46 eV per atom